# 1
Below is a relaxed structure of Tb4Pr4Ho, with properties calculated at the PBE level.

Values from the calculation:
As for the energy of formation: 0.017 eV/atom. For the size of the total moment, the calculation gives 0.00 μB/atom. The value obtained for the calculated volume is 303 Å³/f.u.

The structure in POSCAR format:
```
Tb4Pr4Ho
1.0
-0.423 -1.892 -4.729
0.544 -8.081 0.422
-7.845 -1.414 -1.494
Pr Tb Ho
4 4 1
Direct
0.333 0.333 0.000 Pr
0.666 0.000 0.667 Pr
0.334 0.000 0.333 Pr
0.667 0.667 0.000 Pr
0.335 0.665 0.665 Tb
0.000 0.665 0.335 Tb
0.665 0.335 0.335 Tb
0.000 0.335 0.665 Tb
0.000 0.000 0.000 Ho
```

# 2
Below is a relaxed structure of NpMnH6, with properties calculated at the PBE level.

Values from the calculation:
For the size of the total moment, the calculation gives 0.25 μB/atom. The value obtained for the total energy is -0.197 hartree per atom. The value obtained for the calculated volume is 56 Å³/f.u.

The structure in POSCAR format:
```
NpMnH6
1.0
3.786 0.000 1.978
1.376 3.527 1.978
0.164 0.112 4.298
Np H Mn
1 6 1
Direct
0.500 0.500 0.500 Np
0.106 0.550 0.238 H
0.550 0.106 0.238 H
0.894 0.894 0.762 H
0.106 0.106 0.238 H
0.450 0.894 0.762 H
0.894 0.450 0.762 H
0.000 0.000 0.000 Mn
```

# 3
Below is a relaxed structure of LiCaVN3, with properties calculated at the PBE level.

Values from the calculation:
For the size of the total moment, the calculation gives 0.00 μB/atom. The value obtained for the calculated volume is 69 Å³/f.u. The value obtained for the raw formation energy is -0.747 eV per atom.

The structure in POSCAR format:
```
LiCaVN3
1.0
5.224 -0.016 0.000
1.106 5.192 0.000
0.553 2.596 5.055
Li V Ca N
2 2 2 6
Direct
0.250 0.568 0.865 Li
0.750 0.432 0.135 Li
0.750 0.049 0.901 V
0.250 0.951 0.099 V
0.750 0.736 0.529 Ca
0.250 0.264 0.471 Ca
0.991 0.718 0.103 N
0.009 0.282 0.897 N
0.250 0.773 0.454 N
0.509 0.179 0.103 N
0.750 0.227 0.546 N
0.491 0.821 0.897 N
```

# 4
Below is a relaxed structure of Cd4GaAu5, with properties calculated at the PBE level.

Values from the calculation:
As for the energy of formation: -0.069 eV/atom. For the size of the total moment, the calculation gives 0.00 μB/atom. The value obtained for the calculated volume is 211 Å³/f.u.

The structure in POSCAR format:
```
Cd4GaAu5
1.0
-0.409 0.310 3.761
3.442 -1.521 0.500
4.445 13.952 -2.581
Au Ga Cd
5 1 4
Direct
0.087 0.087 0.173 Au
0.281 0.281 0.561 Au
0.913 0.913 0.827 Au
0.719 0.719 0.439 Au
0.500 0.500 0.000 Au
0.000 0.000 0.000 Ga
0.183 0.183 0.367 Cd
0.382 0.382 0.764 Cd
0.817 0.817 0.633 Cd
0.618 0.618 0.236 Cd
```

# 5
Below is a relaxed structure of RbBeB2, with properties calculated at the PBE level.

Values from the calculation:
As for the energy of formation: 0.181 eV/atom. For the size of the total moment, the calculation gives 0.00 μB/atom. The value obtained for the calculated volume is 84 Å³/f.u.

The structure in POSCAR format:
```
RbBeB2
1.0
-0.533 -3.361 1.240
3.109 1.638 3.030
-7.845 3.655 5.531
B Rb Be
4 2 2
Direct
0.663 0.676 0.517 B
0.000 0.000 0.500 B
0.337 0.324 0.483 B
0.500 0.000 0.500 B
0.704 0.232 0.788 Rb
0.296 0.768 0.212 Rb
0.830 0.332 0.446 Be
0.170 0.668 0.554 Be
```

# 6
Below is a relaxed structure of FeNi3N3, with properties calculated at the PBE level.

Values from the calculation:
For the size of the total moment, the calculation gives 0.20 μB/atom. The value obtained for the calculated volume is 75 Å³/f.u. The value obtained for the raw formation energy is 0.256 eV per atom.

The structure in POSCAR format:
```
FeNi3N3
1.0
3.393 -5.877 0.000
3.393 5.877 0.000
0.000 0.000 3.737
Ni N Fe
6 6 2
Direct
0.293 0.147 0.250 Ni
0.853 0.147 0.250 Ni
0.853 0.707 0.250 Ni
0.707 0.853 0.750 Ni
0.147 0.853 0.750 Ni
0.147 0.293 0.750 Ni
0.816 0.632 0.750 N
0.632 0.816 0.250 N
0.184 0.368 0.250 N
0.184 0.816 0.250 N
0.816 0.184 0.750 N
0.368 0.184 0.750 N
0.333 0.667 0.250 Fe
0.667 0.333 0.750 Fe
```

# 7
Below is a relaxed structure of Cr3W, with properties calculated at the PBE level.

Values from the calculation:
As for the energy of formation: 0.345 eV/atom. For the size of the total moment, the calculation gives 0.00 μB/atom. The value obtained for the calculated volume is 53 Å³/f.u.

The structure in POSCAR format:
```
Cr3W
1.0
-1.747 1.747 8.607
1.747 -1.747 8.607
1.747 1.747 -8.607
Cr W
6 2
Direct
0.874 0.874 0.000 Cr
0.126 0.126 0.000 Cr
0.750 0.250 0.500 Cr
0.500 0.000 0.500 Cr
0.250 0.750 0.500 Cr
0.000 0.500 0.500 Cr
0.376 0.376 0.000 W
0.624 0.624 0.000 W
```

# 8
Below is a relaxed structure of LiZn2HgN, with properties calculated at the PBE level.

Values from the calculation:
For the size of the total moment, the calculation gives 0.00 μB/atom. The value obtained for the calculated volume is 74 Å³/f.u. The value obtained for the raw formation energy is 0.018 eV per atom.

The structure in POSCAR format:
```
LiZn2HgN
1.0
-3.595 -1.972 -0.803
1.738 -3.628 1.130
-1.250 0.648 4.006
Zn Hg N Li
2 1 1 1
Direct
0.500 0.000 0.000 Zn
0.000 0.500 0.000 Zn
0.500 0.500 0.500 Hg
0.000 0.000 0.000 N
0.000 0.000 0.500 Li
```

# 9
Below is a relaxed structure of HgSbIr2, with properties calculated at the PBE level.

Values from the calculation:
For the size of the total moment, the calculation gives 0.00 μB/atom. The value obtained for the calculated volume is 74 Å³/f.u. The value obtained for the raw formation energy is 0.563 eV per atom. For the offset from the most stable computed form, the calculation gives 239 meV/atom.

The structure in POSCAR format:
```
HgSbIr2
1.0
-2.753 1.197 0.371
0.981 -2.139 1.901
3.584 6.537 5.506
Ir Sb Hg
2 1 1
Direct
0.000 0.000 0.491 Ir
0.000 0.000 0.009 Ir
0.500 0.500 0.250 Sb
0.500 0.500 0.750 Hg
```

# 10
Below is a relaxed structure of TaPbCl2, with properties calculated at the PBE level.

Values from the calculation:
For the size of the total moment, the calculation gives 0.00 μB/atom. The value obtained for the calculated volume is 122 Å³/f.u. The value obtained for the raw formation energy is -0.432 eV per atom. For the offset from the most stable computed form, the calculation gives 56 meV/atom.

The structure in POSCAR format:
```
TaPbCl2
1.0
-0.526 -6.926 0.175
0.252 -6.215 3.097
-5.672 -3.244 2.301
Pb Ta Cl
1 1 2
Direct
0.571 0.571 0.485 Pb
0.269 0.269 0.086 Ta
0.755 0.755 0.828 Cl
0.905 0.905 0.101 Cl
```

# 11
Below is a relaxed structure of Ca5Pr, with properties calculated at the PBE level.

Values from the calculation:
As for the energy of formation: 0.057 eV/atom. For the size of the total moment, the calculation gives 0.00 μB/atom. The value obtained for the calculated volume is 241 Å³/f.u. For the offset from the most stable computed form, the calculation gives 26 meV/atom.

The structure in POSCAR format:
```
Ca5Pr
1.0
4.256 0.000 0.000
0.000 6.134 0.000
0.000 -3.067 9.216
Pr Ca
1 5
Direct
0.000 0.000 0.000 Pr
0.500 0.836 0.672 Ca
0.000 0.664 0.329 Ca
0.500 0.500 0.000 Ca
0.500 0.164 0.328 Ca
0.000 0.336 0.671 Ca
```

# 12
Below is a relaxed structure of CsAcZrSe4, with properties calculated at the PBE level.

Values from the calculation:
For the size of the total moment, the calculation gives 0.00 μB/atom. The value obtained for the calculated volume is 266 Å³/f.u. The value obtained for the raw formation energy is -1.573 eV per atom.

The structure in POSCAR format:
```
CsAcZrSe4
1.0
-5.626 4.975 -0.344
-4.492 -4.853 3.285
4.866 1.403 8.726
Cs Se Ac Zr
2 8 2 2
Direct
0.725 0.750 0.937 Cs
0.275 0.250 0.063 Cs
0.435 0.750 0.173 Se
0.565 0.250 0.827 Se
0.005 0.990 0.705 Se
0.564 0.250 0.424 Se
0.005 0.510 0.705 Se
0.995 0.490 0.295 Se
0.436 0.750 0.576 Se
0.995 0.010 0.295 Se
0.779 0.750 0.449 Ac
0.221 0.250 0.551 Ac
0.772 0.250 0.672 Zr
0.228 0.750 0.328 Zr
```

# 13
Below is a relaxed structure of Th6Pd23, with properties calculated at the PBE level.

Values from the calculation:
As for the energy of formation: -0.674 eV/atom. For the size of the total moment, the calculation gives 0.02 μB/atom. The value obtained for the calculated volume is 551 Å³/f.u.

The structure in POSCAR format:
```
Th6Pd23
1.0
-7.510 -0.410 5.299
0.827 -1.448 9.048
-1.822 6.793 5.931
Pd Th
23 6
Direct
0.834 0.834 0.497 Pd
0.500 0.000 0.500 Pd
0.166 0.166 0.503 Pd
0.497 0.834 0.834 Pd
0.500 0.000 0.000 Pd
0.000 0.500 0.500 Pd
0.166 0.166 0.166 Pd
0.379 0.379 0.379 Pd
0.621 0.136 0.621 Pd
0.000 0.000 0.500 Pd
0.500 0.500 0.000 Pd
0.621 0.621 0.621 Pd
0.000 0.500 0.000 Pd
0.136 0.621 0.621 Pd
0.503 0.166 0.166 Pd
0.379 0.379 0.864 Pd
0.621 0.621 0.136 Pd
0.864 0.379 0.379 Pd
0.166 0.503 0.166 Pd
0.379 0.864 0.379 Pd
0.500 0.500 0.500 Pd
0.834 0.834 0.834 Pd
0.834 0.497 0.834 Pd
0.776 0.224 0.776 Th
0.224 0.776 0.224 Th
0.224 0.224 0.776 Th
0.776 0.776 0.224 Th
0.224 0.776 0.776 Th
0.776 0.224 0.224 Th
```

# 14
Below is a relaxed structure of BeIN, with properties calculated at the PBE level.

Values from the calculation:
For the size of the total moment, the calculation gives 0.00 μB/atom. The value obtained for the calculated volume is 65 Å³/f.u. The value obtained for the raw formation energy is 0.282 eV per atom. For the offset from the most stable computed form, the calculation gives 0 meV/atom.

The structure in POSCAR format:
```
BeIN
1.0
-3.138 -3.821 3.444
5.697 -1.102 -0.402
-1.640 4.247 -0.166
Be I N
1 1 1
Direct
0.730 0.595 0.496 Be
0.177 0.569 0.365 I
0.219 0.091 0.972 N
```

# 15
Below is a relaxed structure of LiAc12Sn7, with properties calculated at the PBE level.

Values from the calculation:
As for the energy of formation: -0.336 eV/atom. For the size of the total moment, the calculation gives 0.00 μB/atom. The value obtained for the calculated volume is 779 Å³/f.u.

The structure in POSCAR format:
```
LiAc12Sn7
1.0
-8.217 0.496 5.607
4.499 -8.728 1.667
6.163 7.349 2.684
Ac Sn Li
12 7 1
Direct
0.400 0.085 0.313 Ac
0.700 0.848 0.338 Ac
0.600 0.915 0.687 Ac
0.338 0.700 0.848 Ac
0.662 0.300 0.152 Ac
0.915 0.687 0.600 Ac
0.300 0.152 0.662 Ac
0.313 0.400 0.085 Ac
0.152 0.662 0.300 Ac
0.687 0.600 0.915 Ac
0.848 0.338 0.700 Ac
0.085 0.313 0.400 Ac
0.500 0.500 0.500 Sn
0.021 0.928 0.272 Sn
0.072 0.728 0.979 Sn
0.928 0.272 0.021 Sn
0.272 0.021 0.928 Sn
0.979 0.072 0.728 Sn
0.728 0.979 0.072 Sn
0.000 0.000 0.000 Li
```

# 16
Below is a relaxed structure of Li3B4C4, with properties calculated at the PBE level.

Values from the calculation:
As for the energy of formation: 0.139 eV/atom. For the size of the total moment, the calculation gives 0.00 μB/atom. The value obtained for the calculated volume is 76 Å³/f.u. For the offset from the most stable computed form, the calculation gives 380 meV/atom.

The structure in POSCAR format:
```
Li3B4C4
1.0
-0.790 2.962 3.464
2.215 -3.720 1.628
2.603 2.056 -3.224
C Li B
4 3 4
Direct
0.340 0.340 0.340 C
0.000 0.000 0.660 C
0.000 0.660 0.000 C
0.660 0.000 0.000 C
0.000 0.500 0.500 Li
0.500 0.000 0.500 Li
0.500 0.500 0.000 Li
0.691 0.691 0.691 B
0.309 0.000 0.000 B
0.000 0.309 0.000 B
0.000 0.000 0.309 B
```

# 17
Below is a relaxed structure of Cd3CuIr, with properties calculated at the PBE level.

Values from the calculation:
As for the energy of formation: 0.693 eV/atom. For the size of the total moment, the calculation gives 0.00 μB/atom. The value obtained for the calculated volume is 139 Å³/f.u. For the offset from the most stable computed form, the calculation gives 0 meV/atom.

The structure in POSCAR format:
```
Cd3CuIr
1.0
5.174 0.000 0.000
0.000 5.174 0.000
0.000 0.000 5.174
Ir Cd Cu
1 3 1
Direct
0.000 0.000 0.000 Ir
0.500 0.000 0.000 Cd
0.000 0.500 0.000 Cd
0.000 0.000 0.500 Cd
0.500 0.500 0.500 Cu
```

# 18
Below is a relaxed structure of TlHg2PbCl8, with properties calculated at the PBE level.

Values from the calculation:
For the size of the total moment, the calculation gives 0.00 μB/atom. The value obtained for the calculated volume is 381 Å³/f.u. The value obtained for the raw formation energy is -0.722 eV per atom.

The structure in POSCAR format:
```
TlHg2PbCl8
1.0
7.037 -0.090 0.361
-0.011 6.473 0.455
0.474 0.619 8.437
Cl Pb Hg Tl
8 1 2 1
Direct
0.640 0.733 0.521 Cl
0.360 0.267 0.479 Cl
0.640 0.737 0.022 Cl
0.360 0.263 0.978 Cl
0.845 0.243 0.242 Cl
0.841 0.237 0.733 Cl
0.155 0.757 0.758 Cl
0.159 0.763 0.267 Cl
0.000 0.000 0.000 Pb
0.493 0.493 0.744 Hg
0.507 0.507 0.256 Hg
0.000 0.000 0.500 Tl
```

# 19
Below is a relaxed structure of LaEr3Au2, with properties calculated at the PBE level.

Values from the calculation:
As for the energy of formation: -0.617 eV/atom. For the size of the total moment, the calculation gives 0.00 μB/atom. The value obtained for the calculated volume is 161 Å³/f.u.

The structure in POSCAR format:
```
LaEr3Au2
1.0
-2.951 1.943 -3.494
-5.087 1.220 4.976
3.492 8.137 1.575
Er Au La
6 4 2
Direct
0.500 0.148 0.834 Er
0.000 0.851 0.675 Er
0.000 0.351 0.325 Er
0.000 0.986 0.069 Er
0.000 0.486 0.931 Er
0.500 0.648 0.166 Er
0.500 0.752 0.856 Au
0.000 0.751 0.339 Au
0.000 0.251 0.661 Au
0.500 0.252 0.144 Au
0.500 0.012 0.424 La
0.500 0.512 0.576 La
```

# 20
Below is a relaxed structure of CrIn2Te, with properties calculated at the PBE level.

Values from the calculation:
For the size of the total moment, the calculation gives 0.47 μB/atom. The value obtained for the calculated volume is 102 Å³/f.u. The value obtained for the raw formation energy is 0.182 eV per atom.

The structure in POSCAR format:
```
CrIn2Te
1.0
-3.447 3.915 1.036
-5.057 1.542 -0.581
-3.376 -1.422 5.448
Cr In Te
1 2 1
Direct
0.791 0.791 0.857 Cr
0.256 0.256 0.208 In
0.053 0.053 0.899 In
0.399 0.399 0.536 Te
```